Material: La2ScNi3As4
Method: DFT, PBE
State: optimized geometry

The structure in extended XYZ format:
```
10
Lattice="-2.033 -0.584 3.747 1.090 -4.162 -0.058 8.579 2.178 4.993" Properties=species:S:1:pos:R:3 pbc="T T T"
La 0.925 0.201 3.003
La 7.183 -0.396 3.834
Sc 3.818 -1.284 4.341
Ni 4.290 1.089 2.496
Ni 6.644 1.653 6.332
Ni 1.464 -1.848 0.506
As -0.471 -2.373 1.845
As 0.000 0.000 0.000
As 4.575 1.127 5.128
As 3.533 -1.323 1.710
```

ΔH_f (0 K) = -0.9420 eV/atom
Symmetry = P-4m2
E_tot = -61.5 eV per formula unit